(1)
A relaxed HoCuRu crystal, computed with PBE-GGA.

Results
The energy of formation from the pure elements is -95 meV per atom. The value obtained for the magnetic moment is 0.00 Bohr magnetons per cell. The calculation puts the density of states at the Fermi level at 1.92 states/eV/f.u.

Lattice parameters (Å, degrees): 3.383 3.383 9.189 90.00 90.00 90.00
Space group I4mm (No. 107)
One atom of each set of equivalent atoms:
Ho 0.000 0.000 0.000
Cu 0.000 0.000 0.696
Ru 0.000 0.000 0.317

(2)
A relaxed Ho2CuRu3 crystal, computed with PBE-GGA.

Results
The energy of formation from the pure elements is -305 meV per atom. The value obtained for the magnetic moment is 0.75 Bohr magnetons per cell. The calculation puts the density of states at the Fermi level at 5.88 states/eV/f.u.

Lattice parameters (Å, degrees): 9.145 5.287 5.303 90.00 125.15 90.00
Space group C2/m (No. 12)
One atom of each set of equivalent atoms:
Ho 0.122 0.000 0.367
Cu 0.000 0.500 0.500
Ru 0.000 0.500 0.000
Ru 0.250 0.250 0.000

(3)
A relaxed Ho8Cu2Ru crystal, computed with PBE-GGA.

Results
The energy of formation from the pure elements is -71 meV per atom. The value obtained for the magnetic moment is 0.00 Bohr magnetons per cell. The calculation puts the density of states at the Fermi level at 12.96 states/eV/f.u.

Lattice parameters (Å, degrees): 8.128 13.185 5.757 90.00 111.19 90.00
Space group Cm (No. 8)
One atom of each set of equivalent atoms:
Ho 0.000 0.000 0.000
Ho 0.072 0.377 0.785
Ho 0.146 0.123 0.568
Ho 0.223 0.500 0.373
Ho 0.360 0.205 0.184
Cu 0.363 0.301 0.687
Ru 0.363 0.000 0.299

(4)
A relaxed Ho7Cu2Ru2 crystal, computed with PBE-GGA.

Results
The energy of formation from the pure elements is -122 meV per atom. The value obtained for the magnetic moment is 0.00 Bohr magnetons per cell. The calculation puts the density of states at the Fermi level at 8.22 states/eV/f.u.

Lattice parameters (Å, degrees): 7.213 10.891 7.047 90.00 90.00 90.00
Space group Cmmm (No. 65)
One atom of each set of equivalent atoms:
Ho 0.000 0.000 0.000
Ho 0.000 0.500 0.256
Ho 0.250 0.250 0.271
Cu 0.167 0.000 0.500
Ru 0.000 0.307 0.000

(5)
A relaxed HoCuRu crystal, computed with PBE-GGA.

Results
The energy of formation from the pure elements is -127 meV per atom. The value obtained for the magnetic moment is 0.00 Bohr magnetons per cell. The calculation puts the density of states at the Fermi level at 1.98 states/eV/f.u.

Lattice parameters (Å, degrees): 4.2584 4.2584 3.5144 90.00 90.00 120.00
Space group P-6m2 (No. 187)
One atom of each set of equivalent atoms:
Ho 0.0000 0.0000 0.0000
Cu 0.3333 0.6667 0.5000
Ru 0.6667 0.3333 0.5000

(6)
A relaxed SmHoCuRu crystal, computed with PBE-GGA.

Results
The energy of formation from the pure elements is -282 meV per atom. The value obtained for the magnetic moment is 0.00 Bohr magnetons per cell. The calculation puts the density of states at the Fermi level at 3.35 states/eV/f.u.

Lattice parameters (Å, degrees): 6.924 6.924 6.924 90.00 90.00 90.00
Space group F-43m (No. 216)
One atom of each set of equivalent atoms:
Sm 0.000 0.000 0.000
Ho 0.000 0.000 0.500
Cu 0.250 0.250 0.250
Ru 0.250 0.250 0.750